[1]
## CaTbCuIr (PBE)

Data for a geometry-optimized CaTbCuIr structure.

## Properties
Crystal system: cubic
Total magnetic moment in μB per formula unit: 0.00
SG: No. 216
Calculated formation energy in meV per atom: -381.4
VASP energy in eV/cell: -21.11
Polymorph energy (0 for the lowest one) in meV per atom: 60.0
V in A^3/atom: 20.6

Lattice parameters (Å, degrees): 4.8849 4.8849 4.8849 60.00 60.00 60.00
Closest atoms and distances in Å follow each position.
Positions (direct):
Ca1 0.0000 0.0000 0.0000  4 Ir 2.99, 4 Cu 2.99
Tb1 0.5000 0.5000 0.5000  4 Cu 2.99, 4 Ir 2.99
Cu1 0.7500 0.7500 0.7500  4 Tb 2.99, 4 Ca 2.99
Ir1 0.2500 0.2500 0.2500  4 Tb 2.99, 4 Ca 2.99

[2]
## Pr7HoEr4 (PBE)

Data for a geometry-optimized Pr7HoEr4 structure.

## Properties
Crystal system: monoclinic
Total magnetic moment in μB per formula unit: 0.00
SG: No. 12
Calculated formation energy in meV per atom: 214.4
VASP energy in eV/cell: -53.71
Polymorph energy (0 for the lowest one) in meV per atom: 206.5
V in A^3/atom: 34.6

Lattice parameters (Å, degrees): 8.6562 8.6562 9.4924 115.01 115.01 40.84
Closest atoms and distances in Å follow each position.
Positions (direct):
Pr1 0.0000 0.0000 0.0000  2 Ho 3.02
Pr2 0.2857 0.2857 0.7588  1 Ho 3.19, 4 Er 3.22-3.50, 2 Pr 3.35-3.46
Pr3 0.2889 0.2889 0.1142  6 Pr 3.35-3.70, 2 Er 3.73
Pr4 0.4138 0.4138 0.5504  3 Pr 3.34-3.70, 3 Er 3.49-3.54
Pr5 0.5862 0.5862 0.4496  3 Pr 3.34-3.70, 3 Er 3.49-3.54
Pr6 0.7111 0.7111 0.8858  6 Pr 3.35-3.70, 2 Er 3.73
Pr7 0.7143 0.7143 0.2412  1 Ho 3.19, 4 Er 3.22-3.50, 2 Pr 3.35-3.46
Ho1 0.5000 0.5000 0.0000  4 Pr 3.02-3.19
Er1 0.0693 0.0693 0.6983  2 Pr 3.29-3.52, 2 Er 3.41-3.60
Er2 0.1694 0.1694 0.3797  7 Pr 3.22-3.54, 1 Er 3.60
Er3 0.8306 0.8306 0.6203  7 Pr 3.22-3.54, 1 Er 3.60
Er4 0.9307 0.9307 0.3017  2 Pr 3.29-3.52, 2 Er 3.41-3.60

[3]
## PrSm2TmHg4 (PBE)

Data for a geometry-optimized PrSm2TmHg4 structure.

## Properties
Crystal system: trigonal
Total magnetic moment in μB per formula unit: 1.34
SG: No. 166
Calculated formation energy in meV per atom: -464.2
VASP energy in eV/cell: -23.61
V in A^3/atom: 27.1

Lattice parameters (Å, degrees): 9.3375 9.3375 9.3375 33.18 33.18 33.18
Closest atoms and distances in Å follow each position.
Positions (direct):
Pr1 0.0000 0.0000 0.0000  8 Hg 3.31-3.38
Sm1 0.2492 0.2492 0.2492  8 Hg 3.21-3.43
Sm2 0.7508 0.7508 0.7508  8 Hg 3.21-3.43
Tm1 0.5000 0.5000 0.5000  8 Hg 3.20-3.25
Hg1 0.1277 0.1277 0.1277  4 Sm 3.21-3.29, 3 Tm 3.25, 1 Pr 3.38
Hg2 0.3789 0.3789 0.3789  1 Tm 3.20, 4 Sm 3.24-3.43, 3 Pr 3.31
Hg3 0.6211 0.6211 0.6211  1 Tm 3.20, 4 Sm 3.24-3.43, 3 Pr 3.31
Hg4 0.8723 0.8723 0.8723  4 Sm 3.21-3.29, 3 Tm 3.25, 1 Pr 3.38